Entry 1:
Entry from the Alexandria database: a relaxed Ta2NiOs crystal (PBEsol).

a = 2.7816 Å, b = 2.7816 Å, c = 9.1888 Å
α = 81.29°, β = 81.29°, γ = 60.00°
Atoms (fractional coordinates):
Ni 0.5024 0.5024 0.4928
Ta 0.7576 0.7576 0.7271
Os 0.2445 0.2445 0.2666
Ta 0.9955 0.9955 0.0134

Values from the calculation:
Symmetry ... R3m
Calculated formation energy ... 20.4 kJ/mol of atoms
E above lowest polymorph ... 1.832 eV per formula unit


Entry 2:
Entry from the Alexandria database: a relaxed AsP2Ir crystal (PBEsol).

a = 4.1436 Å, b = 4.4856 Å, c = 4.1436 Å
α = 62.49°, β = 90.00°, γ = 117.51°
Atoms (fractional coordinates):
As 0.5000 0.0000 0.5000
P 0.0000 0.0000 0.0000
P 0.2500 0.5000 0.2500
Ir 0.7500 0.5000 0.7500

Values from the calculation:
Symmetry ... I-4m2
Calculated formation energy ... 38.9 kJ/mol of atoms


Entry 3:
Entry from the Alexandria database: a relaxed InIrPb2 crystal (PBEsol).

a = 4.0336 Å, b = 4.7736 Å, c = 4.7736 Å
α = 100.85°, β = 90.00°, γ = 90.00°
Atoms (fractional coordinates):
Pb 0.0000 0.5000 0.0000
In 0.5000 0.0000 0.0000
Ir 0.5000 0.5000 0.5000
Pb 0.0000 0.0000 0.5000

Values from the calculation:
Symmetry ... Cmmm
Calculated formation energy ... 45.1 kJ/mol of atoms


Entry 4:
Entry from the Alexandria database: a relaxed Li2HgI crystal (PBEsol).

a = 5.1173 Å, b = 5.1173 Å, c = 5.1173 Å
α = 60.00°, β = 60.00°, γ = 60.00°
Atoms (fractional coordinates):
I 0.0000 0.0000 0.0000
Hg 0.5000 0.5000 0.5000
Li 0.7500 0.7500 0.7500
Li 0.2500 0.2500 0.2500

Values from the calculation:
Symmetry ... Fm-3m
E above lowest polymorph ... 0.000 eV per formula unit
Formation energy without anion corrections ... -465 meV per atom


Entry 5:
Entry from the Alexandria database: a relaxed LaZrNi2 crystal (PBEsol).

a = 3.2522 Å, b = 3.2517 Å, c = 6.9344 Å
α = 89.98°, β = 90.00°, γ = 90.00°
Atoms (fractional coordinates):
Zr 0.5000 0.5000 0.5000
Ni 0.0000 0.0002 0.6933
Ni 0.0000 0.9998 0.3067
La 0.5000 0.5000 0.0000

Values from the calculation:
Symmetry ... P4/mmm
Calculated formation energy ... -29.1 kJ/mol of atoms


Entry 6:
Entry from the Alexandria database: a relaxed LuCrO3 crystal (PBEsol).

a = 5.0932 Å, b = 5.4790 Å, c = 7.3868 Å
α = 90.00°, β = 90.00°, γ = 90.00°
Last column: magnetic moment on the atom in μB.
Atoms (fractional coordinates):
Cr 0.5000 0.0000 0.5000  2.74
Lu 0.9763 0.0767 0.2500  0.04
O 0.8138 0.8066 0.4389  0.03
Cr 0.0000 0.5000 0.0000  2.74
O 0.3138 0.6934 0.5611  0.03
Cr 0.0000 0.5000 0.5000  2.74
O 0.3138 0.6934 0.9389  0.03
O 0.6225 0.0450 0.7500  0.02
O 0.1862 0.1934 0.9389  0.03
O 0.1862 0.1934 0.5611  0.03
O 0.1225 0.4550 0.2500  0.02
Lu 0.5237 0.5767 0.2500  0.04
O 0.6862 0.3066 0.4389  0.03
O 0.6862 0.3066 0.0611  0.03
Lu 0.0237 0.9233 0.7500  0.04
O 0.3775 0.9550 0.2500  0.02
Lu 0.4763 0.4233 0.7500  0.04
O 0.8138 0.8066 0.0611  0.03
Cr 0.5000 0.0000 0.0000  2.74
O 0.8775 0.5450 0.7500  0.02

Values from the calculation:
Symmetry ... Pnma
Formation energy without anion corrections ... -2881 meV per atom


Entry 7:
Entry from the Alexandria database: a relaxed BaMgMo2Rh crystal (PBEsol).

a = 4.7083 Å, b = 4.9263 Å, c = 4.9263 Å
α = 90.00°, β = 90.00°, γ = 90.00°
Last column: magnetic moment on the atom in μB.
Atoms (fractional coordinates):
Mo 0.0000 0.0000 0.5000  2.11
Mo 0.0000 0.5000 0.0000  2.11
Ba 0.5000 0.5000 0.5000  0.14
Mg 0.0000 0.0000 0.0000  0.03
Rh 0.5000 0.0000 0.0000  0.09

Values from the calculation:
Symmetry ... P4/mmm
Calculated formation energy ... 164.2 kJ/mol of atoms


Entry 8:
Entry from the Alexandria database: a relaxed KBaAs crystal (PBEsol).

a = 5.4210 Å, b = 8.3373 Å, c = 9.5937 Å
α = 90.00°, β = 90.00°, γ = 90.00°
Atoms (fractional coordinates):
As 0.7500 0.7258 0.9090
Ba 0.7500 0.8351 0.5882
As 0.7500 0.2258 0.5910
As 0.2500 0.7742 0.4090
Ba 0.2500 0.1649 0.4118
K 0.7500 0.4892 0.3212
K 0.2500 0.0108 0.8212
K 0.7500 0.9892 0.1788
Ba 0.7500 0.3351 0.9118
Ba 0.2500 0.6649 0.0882
As 0.2500 0.2742 0.0910
K 0.2500 0.5108 0.6788

Values from the calculation:
Symmetry ... Pnma
Calculated formation energy ... -74.3 kJ/mol of atoms


Entry 9:
Entry from the Alexandria database: a relaxed K2RbNa crystal (PBEsol).

a = 7.0880 Å, b = 7.0880 Å, c = 7.0880 Å
α = 60.00°, β = 60.00°, γ = 60.00°
Atoms (fractional coordinates):
Rb 0.5000 0.5000 0.5000
Na 0.0000 0.0000 0.0000
K 0.7500 0.7500 0.7500
K 0.2500 0.2500 0.2500

Values from the calculation:
Symmetry ... Fm-3m
Calculated formation energy ... 2.1 kJ/mol of atoms
E above lowest polymorph ... 0.000 eV per formula unit


Entry 10:
Entry from the Alexandria database: a relaxed CrCd2Ru crystal (PBEsol).

a = 2.8300 Å, b = 2.8300 Å, c = 9.4040 Å
α = 81.35°, β = 81.35°, γ = 60.00°
Last column: magnetic moment on the atom in μB.
Atoms (fractional coordinates):
Ru 0.0000 0.0000 0.0000  -0.46
Cd 0.2502 0.2502 0.2493  -0.01
Cr 0.5000 0.5000 0.5000  2.28
Cd 0.7498 0.7498 0.7507  -0.01

Values from the calculation:
Symmetry ... R-3m
Calculated formation energy ... 58.3 kJ/mol of atoms
E above lowest polymorph ... 0.252 eV per formula unit


Entry 11:
Entry from the Alexandria database: a relaxed Si2SbW crystal (PBEsol).

a = 3.1754 Å, b = 4.6061 Å, c = 4.6061 Å
α = 105.75°, β = 90.00°, γ = 90.00°
Atoms (fractional coordinates):
Si 0.0000 0.5000 0.0000
Si 0.0000 0.0000 0.5000
W 0.5000 0.0000 0.0000
Sb 0.5000 0.5000 0.5000

Values from the calculation:
Symmetry ... Cmmm
Formation energy without anion corrections ... 545 meV per atom


Entry 12:
Entry from the Alexandria database: a relaxed Ta2BeCl crystal (PBEsol).

a = 2.8431 Å, b = 4.4528 Å, c = 5.4850 Å
α = 113.95°, β = 105.02°, γ = 90.00°
Atoms (fractional coordinates):
Cl 0.2694 0.7694 0.5388
Ta 0.7598 0.2598 0.5196
Ta 0.9771 0.9771 0.9541
Be 0.4937 0.4937 0.9874

Values from the calculation:
Symmetry ... Imm2
E above lowest polymorph ... 0.023 eV per formula unit
Formation energy without anion corrections ... 365 meV per atom


Entry 13:
Entry from the Alexandria database: a relaxed K2ZrRh crystal (PBEsol).

a = 3.4206 Å, b = 3.4206 Å, c = 10.9394 Å
α = 90.00°, β = 90.00°, γ = 90.00°
Atoms (fractional coordinates):
Zr 0.5000 0.5000 0.6572
K 0.0000 0.0000 0.9516
K 0.5000 0.5000 0.3328
Rh 0.0000 0.0000 0.5584

Values from the calculation:
Symmetry ... P4mm
Calculated formation energy ... 15.2 kJ/mol of atoms


Entry 14:
Entry from the Alexandria database: a relaxed KSrRuRh2 crystal (PBEsol).

a = 4.8520 Å, b = 4.8520 Å, c = 5.1837 Å
α = 90.00°, β = 90.00°, γ = 90.00°
Last column: magnetic moment on the atom in μB.
Atoms (fractional coordinates):
Rh 0.0000 0.5000 0.0000  0.34
Sr 0.0000 0.0000 0.0000  -0.03
Rh 0.5000 0.0000 0.0000  0.34
Ru 0.5000 0.5000 0.5000  2.33
K 0.0000 0.0000 0.5000  -0.01

Values from the calculation:
Symmetry ... P4/mmm
Calculated formation energy ... 208.2 kJ/mol of atoms


Entry 15:
Entry from the Alexandria database: a relaxed TaOs2Pt crystal (PBEsol).

a = 3.8859 Å, b = 3.9040 Å, c = 3.9040 Å
α = 90.00°, β = 90.00°, γ = 90.00°
Atoms (fractional coordinates):
Pt 0.5000 0.5000 0.5000
Os 0.0000 0.5000 0.0000
Ta 0.5000 0.0000 0.0000
Os 0.0000 0.0000 0.5000

Values from the calculation:
Symmetry ... P4/mmm
Calculated formation energy ... -36.0 kJ/mol of atoms
E above lowest polymorph ... 0.000 eV per formula unit


Entry 16:
Entry from the Alexandria database: a relaxed HoPd crystal (PBEsol).

a = 3.4341 Å, b = 3.4341 Å, c = 3.4341 Å
α = 90.00°, β = 90.00°, γ = 90.00°
Atoms (fractional coordinates):
Pd 0.5000 0.5000 0.5000
Ho 0.0000 0.0000 0.0000

Values from the calculation:
Symmetry ... Pm-3m
Calculated formation energy ... -85.9 kJ/mol of atoms


Entry 17:
Entry from the Alexandria database: a relaxed AlInSi crystal (PBEsol).

a = 4.2494 Å, b = 4.2494 Å, c = 4.0184 Å
α = 90.00°, β = 90.00°, γ = 120.00°
Atoms (fractional coordinates):
Si 0.6667 0.3333 0.5000
In 0.3333 0.6667 0.0000
Al 0.0000 0.0000 0.5000

Values from the calculation:
Symmetry ... P-6m2
E above lowest polymorph ... 0.000 eV per formula unit
Formation energy without anion corrections ... 253 meV per atom


Entry 18:
Entry from the Alexandria database: a relaxed SbTe2PbI crystal (PBEsol).

a = 5.7337 Å, b = 5.7710 Å, c = 5.7710 Å
α = 90.00°, β = 90.00°, γ = 90.00°
Atoms (fractional coordinates):
Sb 0.5000 0.5000 0.5000
Pb 0.0000 0.0000 0.0000
I 0.5000 0.0000 0.0000
Te 0.0000 0.0000 0.5000
Te 0.0000 0.5000 0.0000

Values from the calculation:
Symmetry ... P4/mmm
E above lowest polymorph ... 1.916 eV per formula unit
Formation energy without anion corrections ... 608 meV per atom


Entry 19:
Entry from the Alexandria database: a relaxed BeCoTe2 crystal (PBEsol).

a = 3.5078 Å, b = 4.0533 Å, c = 6.1608 Å
α = 101.74°, β = 90.00°, γ = 115.64°
Atoms (fractional coordinates):
Te 0.0137 0.0274 0.1203
Be 0.4730 0.9459 0.4026
Co 0.7482 0.4963 0.3361
Te 0.2652 0.5304 0.6410

Values from the calculation:
Symmetry ... Cm
Formation energy without anion corrections ... -99 meV per atom


Entry 20:
Entry from the Alexandria database: a relaxed Ba2AsAu crystal (PBEsol).

a = 4.5012 Å, b = 4.7352 Å, c = 6.4229 Å
α = 90.00°, β = 110.51°, γ = 90.00°
Atoms (fractional coordinates):
Ba 0.7402 0.5000 0.4804
Au 0.2973 0.0000 0.5946
Ba 0.0110 0.0000 0.0220
As 0.4515 0.5000 0.9029

Values from the calculation:
Symmetry ... Amm2
Calculated formation energy ... -83.5 kJ/mol of atoms